1.
A plane-wave DFT calculation with GGA-PBE was carried out for a geometry-optimized Tl2SiBr structure.

Computed properties:
* ΔE to the lowest computed polymorph: 276.3 meV/atom
* ΔE_f (raw): 0.338 eV per atom
* space-group type: F-43m

```
Tl2SiBr
1.0
5.358 0.000 0.000
2.679 4.640 0.000
2.679 1.547 4.375
Br Si Tl
1 1 2
Cartesian
5.358 3.094 2.187
8.037 4.640 3.281
0.000 0.000 0.000
2.679 1.547 1.094
```


2.
A plane-wave DFT calculation with GGA-PBE was carried out for a geometry-optimized Li3HoMg12 structure.

Computed properties:
* ΔH_f (0 K): -0.03 eV per atom
* space-group type: P4/mmm

```
Li3HoMg12
1.0
4.492 0.000 0.000
0.000 4.492 0.000
0.000 0.000 18.129
Li Ho Mg
3 1 12
Cartesian
0.000 0.000 4.613
0.000 0.000 9.065
0.000 0.000 13.516
0.000 0.000 0.000
2.246 2.246 0.000
2.246 2.246 4.689
2.246 2.246 9.065
2.246 2.246 13.441
2.246 0.000 2.420
2.246 0.000 6.862
2.246 0.000 11.268
2.246 0.000 15.709
0.000 2.246 2.420
0.000 2.246 6.862
0.000 2.246 11.268
0.000 2.246 15.709
```


no.,total DFT energy (no corrections) (eV/atom)
1,-2.619
2,-1.868